Tl2ZnTe: relaxed, PBE-GGA.

Computed properties:
Space-group type = Cmmm, No. 65
Formation energy (no corrections) = 2.40 kcal/mol of atoms
Raw total energy = -2.1831 eV/atom

Geometry as POSCAR:
```
Tl2ZnTe
1.0
2.1554 -2.5177 0.0000
2.1554 2.5177 0.0000
0.0000 0.0000 10.3551
Tl Zn Te
2 1 1
Direct
0.0000 0.0000 0.2206
0.0000 0.0000 0.7794
0.5000 0.5000 0.0000
0.5000 0.5000 0.5000
```